Entry from Alexandria: crystalline Ac3Mn2CuO9 at its relaxed geometry (PBE with a Hubbard U).

```
Ac3Mn2CuO9
1.0
5.622 0.000 0.000
-2.811 4.868 0.000
0.000 0.000 6.893
O Mn Ac Cu
9 2 3 1
direct
0.171 0.829 0.328 O
0.500 0.500 0.000 O
0.171 0.341 0.328 O
0.500 0.000 0.000 O
0.659 0.829 0.328 O
0.341 0.171 0.672 O
0.829 0.171 0.672 O
0.829 0.659 0.672 O
0.000 0.500 0.000 O
0.333 0.667 0.167 Mn
0.667 0.333 0.833 Mn
0.000 0.000 0.000 Ac
0.667 0.333 0.340 Ac
0.333 0.667 0.660 Ac
0.000 0.000 0.500 Cu
```

Computed properties:
**Uncorrected energy**: -111.6 eV/f.u.
**N(E_F)**: 1.06 states/eV per cell
**Crystal system**: trigonal
**Total magnetization**: 0.399 μB/atom
**Symmetry**: P-3m1 (164)